No. 1
{
  "formula": "LaDyHf",
  "functional": "PBE",
  "state": "relaxed",
  "space_group": "I4mm, No. 107",
  "formation_energy_ev_per_fu": 0.450,
  "e_above_lowest_polymorph_ev_per_atom": 0.041,
  "dft_energy_ev_per_cell": -19.03,
  "dos_ef_per_ev_atom": 1.507,
  "cell": [[-0.1725, 1.9884, -2.7142], [-2.8092, -1.5809, -0.9796], [-2.7861, 4.9075, 5.8632]],
  "species": ["La", "Dy", "Hf"],
  "frac_coords": [[0.3234, 0.3234, 0.6468], [0.0162, 0.0162, 0.0323], [0.6604, 0.6604, 0.3209]]
}

No. 2
{
  "formula": "TaGaPd5",
  "functional": "PBE",
  "state": "relaxed",
  "space_group": "C2/c, No. 15",
  "formation_energy_ev_per_fu": -0.737,
  "dft_energy_ev_per_cell": -83.16,
  "dos_ef_per_ev_atom": 0.568,
  "cell": [[6.6983, -1.0922, 0.0284], [1.0893, 6.6988, 0.0284], [2.8363, 2.0419, 5.6705]],
  "species": ["Ga", "Pd", "Pd", "Pd", "Ta", "Pd", "Ta", "Pd", "Pd", "Pd", "Ga", "Pd", "Pd", "Pd"],
  "frac_coords": [[0.0000, 0.0000, 0.5000], [0.1880, 0.8120, 0.7500], [0.6116, 0.8101, 0.3110], [0.5681, 0.1992, 0.0008], [0.5437, 0.4563, 0.2500], [0.8101, 0.6116, 0.8110], [0.4563, 0.5437, 0.7500], [0.4319, 0.8008, 0.9992], [0.1899, 0.3884, 0.1890], [0.8120, 0.1880, 0.2500], [0.0000, 0.0000, 0.0000], [0.3884, 0.1899, 0.6890], [0.8008, 0.4319, 0.4992], [0.1992, 0.5681, 0.5008]]
}

No. 3
{
  "formula": "TlBiPtPb2",
  "functional": "PBE",
  "state": "relaxed",
  "space_group": "P4/mmm, No. 123",
  "formation_energy_ev_per_fu": 0.224,
  "dft_energy_ev_per_cell": -19.48,
  "dos_ef_per_ev_atom": 0.514,
  "cell": [[5.4908, 0.0000, 0.0000], [0.0000, 5.4908, 0.0000], [0.0000, 0.0000, 5.2757]],
  "species": ["Pb", "Pt", "Pb", "Tl", "Bi"],
  "frac_coords": [[0.0000, 0.5000, 0.0000], [0.0000, 0.0000, 0.0000], [0.5000, 0.0000, 0.0000], [0.0000, 0.0000, 0.5000], [0.5000, 0.5000, 0.5000]]
}